Sr8Ga2Ge | the Alexandria database | PBE | relaxed; ΔE to the lowest computed polymorph = 0.0961 eV per atom; total magnetization = 0.28 μB/cell; energy relative to the elements = -159 meV per atom; DFT total energy = -25.87 eV for the cell shown
1.0
-4.537 -0.088 3.053
-4.986 2.103 -7.349
3.817 -8.961 0.513
Sr Ge Ga
8 1 2
Direct
0.662 0.881 0.324
0.338 0.557 0.676
0.136 0.136 0.272
0.000 0.317 0.000
0.864 0.864 0.728
0.662 0.443 0.324
0.338 0.119 0.676
0.000 0.683 0.000
0.500 0.000 0.000
0.185 0.685 0.371
0.815 0.315 0.629



CaDy2RhO5 | the Alexandria database | PBE | relaxed; total magnetization = 1.25 μB/cell; formation energy (no corrections) = -55.7 kcal/mol of atoms; DFT total energy = -65.10 eV for the cell shown
1.0
3.868 0.000 0.000
0.000 5.627 0.000
-1.934 -2.813 5.825
Ca Dy Rh O
1 2 1 5
Direct
0.000 0.500 0.000
0.202 0.202 0.404
0.798 0.798 0.596
0.500 0.000 0.000
0.652 0.906 0.305
0.348 0.094 0.695
0.348 0.601 0.695
0.652 0.399 0.305
0.000 0.000 0.000